Compound: Y5GeAs4
Source: Alexandria
Functional: PBE
Structure: relaxed

a = 7.155 Å, b = 7.155 Å, c = 7.155 Å
α = 99.58°, β = 99.58°, γ = 131.85°
Fractional coordinates of all 10 atoms:
Y 0.000 0.000 0.000
Y 0.198 0.399 0.596
Y 0.399 0.802 0.201
Y 0.601 0.198 0.799
Y 0.802 0.601 0.404
Ge 0.500 0.500 0.000
As 0.100 0.700 0.799
As 0.300 0.100 0.400
As 0.700 0.900 0.600
As 0.900 0.300 0.201

Computed properties:
- D(E_F) (states/eV/cell) = 4.65
- calculated total energy (eV/cell) = -69.24
- ΔH_f (0 K) (meV per atom) = -1370.4
- ρ (Mg/m³) = 5.444

Compound: Zn2GeAs3
Source: Alexandria
Functional: PBE
Structure: relaxed

a = 7.026 Å, b = 7.026 Å, c = 6.918 Å
α = 99.42°, β = 99.42°, γ = 120.11°
Fractional coordinates of all 12 atoms:
Zn 0.083 0.917 0.500
Zn 0.260 0.757 0.001
Zn 0.757 0.260 0.501
Zn 0.917 0.083 0.000
Ge 0.429 0.596 0.507
Ge 0.596 0.429 0.007
As 0.131 0.631 0.623
As 0.294 0.460 0.125
As 0.460 0.294 0.625
As 0.631 0.131 0.123
As 0.797 0.968 0.623
As 0.968 0.797 0.123

Computed properties:
- D(E_F) (states/eV/cell) = 4.43
- calculated total energy (eV/cell) = -43.55
- ΔH_f (0 K) (meV per atom) = -110.1
- ρ (Mg/m³) = 5.096

Compound: ZnGeAs2
Source: Alexandria
Functional: PBE
Structure: relaxed

a = 3.853 Å, b = 3.853 Å, c = 22.567 Å
α = 90.00°, β = 90.00°, γ = 120.00°
Fractional coordinates of all 12 atoms:
Zn 0.000 0.000 0.000
Zn 0.333 0.667 0.667
Zn 0.667 0.333 0.333
Ge 0.000 0.000 0.500
Ge 0.333 0.667 0.167
Ge 0.667 0.333 0.833
As 0.000 0.000 0.105
As 0.000 0.000 0.895
As 0.333 0.667 0.562
As 0.333 0.667 0.772
As 0.667 0.333 0.228
As 0.667 0.333 0.438

Computed properties:
- D(E_F) (states/eV/cell) = 4.61
- calculated total energy (eV/cell) = -42.55
- ΔH_f (0 K) (meV per atom) = 252.0
- ρ (Mg/m³) = 4.944
- ΔE to the lowest computed polymorph (eV per atom) = 0.419

Compound: Zn2GeAs
Source: Alexandria
Functional: PBE
Structure: relaxed

a = 6.585 Å, b = 6.585 Å, c = 6.585 Å
α = 90.00°, β = 90.00°, γ = 90.00°
Fractional coordinates of all 16 atoms:
Zn 0.250 0.250 0.250
Zn 0.250 0.250 0.750
Zn 0.250 0.750 0.250
Zn 0.250 0.750 0.750
Zn 0.750 0.250 0.250
Zn 0.750 0.250 0.750
Zn 0.750 0.750 0.250
Zn 0.750 0.750 0.750
Ge 0.000 0.000 0.000
Ge 0.000 0.500 0.500
Ge 0.500 0.000 0.500
Ge 0.500 0.500 0.000
As 0.000 0.000 0.500
As 0.000 0.500 0.000
As 0.500 0.000 0.000
As 0.500 0.500 0.500

Computed properties:
- D(E_F) (states/eV/cell) = 5.62
- calculated total energy (eV/cell) = -43.04
- ΔH_f (0 K) (meV per atom) = 264.0
- ρ (Mg/m³) = 6.475
- ΔE to the lowest computed polymorph (eV per atom) = 0.025

Compound: Zn2Ge2As
Source: Alexandria
Functional: PBE
Structure: relaxed

a = 6.974 Å, b = 6.974 Å, c = 3.815 Å
α = 90.00°, β = 90.00°, γ = 90.00°
Fractional coordinates of all 10 atoms:
Zn 0.130 0.370 0.000
Zn 0.370 0.870 0.000
Zn 0.630 0.130 0.000
Zn 0.870 0.630 0.000
Ge 0.176 0.676 0.500
Ge 0.324 0.176 0.500
Ge 0.676 0.824 0.500
Ge 0.824 0.324 0.500
As 0.000 0.000 0.000
As 0.500 0.500 0.000

Computed properties:
- D(E_F) (states/eV/cell) = 3.69
- calculated total energy (eV/cell) = -30.27
- ΔH_f (0 K) (meV per atom) = 259.2
- ρ (Mg/m³) = 6.282
- ΔE to the lowest computed polymorph (eV per atom) = 0.016

Compound: Zn3GeAs
Source: Alexandria
Functional: PBE
Structure: relaxed

a = 4.786 Å, b = 4.786 Å, c = 4.786 Å
α = 90.00°, β = 90.00°, γ = 90.00°
Fractional coordinates of all 5 atoms:
Zn 0.000 0.000 0.500
Zn 0.000 0.500 0.000
Zn 0.500 0.000 0.000
Ge 0.000 0.000 0.000
As 0.500 0.500 0.500

Computed properties:
- D(E_F) (states/eV/cell) = 5.68
- calculated total energy (eV/cell) = -10.27
- ΔH_f (0 K) (meV per atom) = 563.9
- ρ (Mg/m³) = 5.208
- ΔE to the lowest computed polymorph (eV per atom) = 0.000

Compound: Zn3GeAs4
Source: Alexandria
Functional: PBE
Structure: relaxed

a = 7.884 Å, b = 6.895 Å, c = 6.809 Å
α = 90.00°, β = 90.00°, γ = 90.00°
Fractional coordinates of all 16 atoms:
Zn 0.000 0.163 0.000
Zn 0.248 0.665 0.997
Zn 0.252 0.335 0.497
Zn 0.500 0.837 0.500
Zn 0.748 0.335 0.497
Zn 0.752 0.665 0.997
Ge 0.000 0.835 0.506
Ge 0.500 0.165 0.006
As 0.000 0.168 0.640
As 0.000 0.833 0.142
As 0.249 0.333 0.137
As 0.251 0.667 0.637
As 0.500 0.167 0.642
As 0.500 0.832 0.140
As 0.749 0.667 0.637
As 0.751 0.333 0.137

Computed properties:
- D(E_F) (states/eV/cell) = 8.15
- calculated total energy (eV/cell) = -55.03
- ΔH_f (0 K) (meV per atom) = -60.0
- ρ (Mg/m³) = 5.101

Compound: ZnGeAs3
Source: Alexandria
Functional: PBE
Structure: relaxed

a = 4.844 Å, b = 4.844 Å, c = 4.844 Å
α = 90.00°, β = 90.00°, γ = 90.00°
Fractional coordinates of all 5 atoms:
Zn 0.000 0.000 0.000
Ge 0.500 0.500 0.500
As 0.000 0.000 0.500
As 0.000 0.500 0.000
As 0.500 0.000 0.000

Computed properties:
- D(E_F) (states/eV/cell) = 4.11
- calculated total energy (eV/cell) = -16.15
- ΔH_f (0 K) (meV per atom) = 738.8
- ρ (Mg/m³) = 5.302
- ΔE to the lowest computed polymorph (eV per atom) = 0.000